TcTe2Pb | PBE | optimized geometry

space-group type	Cmmm
N(E_F)	4.721	states/eV per cell
energy relative to the elements, uncorrected	106	meV per atom
E_tot	-4.983	eV per atom

a b c (Å): 5.4557 10.1889 3.9583
angles (deg): 90.00 90.00 90.00
Positions (direct):
Tc 0.0000 0.0000 0.0000
Tc 0.5000 0.5000 0.0000
Te 0.0000 0.1801 0.5000
Te 0.0000 0.8199 0.5000
Te 0.5000 0.3199 0.5000
Te 0.5000 0.6801 0.5000
Pb 0.0000 0.5000 0.0000
Pb 0.5000 0.0000 0.0000

---

Tc2TePb | PBE | optimized geometry

space-group type	Pmm2
N(E_F)	3.874	states/eV per cell
energy relative to the elements, uncorrected	507	meV per atom
E_tot	-6.388	eV per atom

a b c (Å): 3.2257 4.8957 4.9677
angles (deg): 90.00 90.00 90.00
Positions (direct):
Tc 0.0000 0.0000 0.0000
Tc 0.5000 0.5000 0.1787
Te 0.0000 0.5000 0.7611
Pb 0.5000 0.0000 0.4728

---

Tc2TePb | PBE | optimized geometry

space-group type	Immm
N(E_F)	8.585	states/eV per cell
energy relative to the elements, uncorrected	823	meV per atom
E_tot	-6.073	eV per atom

a b c (Å): 3.2577 5.5514 8.8377
angles (deg): 90.00 90.00 90.00
Positions (direct):
Tc 0.0000 0.0000 0.2319
Tc 0.0000 0.0000 0.7681
Tc 0.5000 0.5000 0.2681
Tc 0.5000 0.5000 0.7319
Te 0.0000 0.5000 0.5000
Te 0.5000 0.0000 0.0000
Pb 0.0000 0.5000 0.0000
Pb 0.5000 0.0000 0.5000

---

Q: Number 3 is which compound?
A: Tc2TePb